12
Lattice="-2.2543 2.2543 11.2816 2.2543 -2.2543 11.2816 2.2543 2.2543 -11.2816" Properties=species:S:1:pos:R:3 comment="CsBa2Pa2O7, relaxed, DFT PBE" spacegroup="I4/mmm, No. 139" total_energy_ev_per_atom=-7.94 pbc="T T T"
Cs 0.0000 0.0000 0.0000
Ba 0.0000 0.0000 4.2212
Ba 0.0000 0.0000 18.3419
Pa 0.0000 0.0000 9.0256
Pa 0.0000 0.0000 13.5376
O 2.2543 0.0000 2.4337
O 0.0000 0.0000 6.8438
O 2.2543 0.0000 8.8479
O 0.0000 0.0000 11.2816
O 0.0000 2.2543 2.4337
O 0.0000 0.0000 15.7194
O 0.0000 2.2543 8.8479



5
Lattice="4.7051 0.0000 0.0000 0.0000 4.7051 0.0000 0.0000 0.0000 5.0463" Properties=species:S:1:pos:R:3 comment="Ta2GaCuBr, relaxed, DFT PBE" spacegroup="P4/mmm, No. 123" total_energy_ev_per_atom=-4.81 pbc="T T T"
Ta 0.0000 2.3525 0.0000
Ta 2.3525 0.0000 0.0000
Ga 0.0000 0.0000 2.5232
Cu 2.3525 2.3525 2.5232
Br 0.0000 0.0000 0.0000



no.,formation energy from raw total energies (meV/atom)
1,-3070
2,1686